Density functional theory data (PBE-GGA) for a relaxed PrTlSnHg crystal.

```
4
Lattice="0.000 3.863 3.863 3.863 0.000 3.863 3.863 3.863 0.000" Properties=species:S:1:pos:R:3 pbc="T T T"
Pr 0.000 0.000 0.000
Tl 3.863 3.863 3.863
Sn 5.795 5.795 5.795
Hg 1.932 1.932 1.932
```

Summary:
The total DFT energy (no corrections) comes out at -12.5 eV per formula unit. The calculation puts the formation energy at -263.4 meV/atom. For the energy above the most stable polymorph in this dataset, the calculation gives 0.69 eV/f.u. As for the symmetry: F-43m (216). The calculation puts the mass density at 9.6 g/cm3.

---

Density functional theory data (PBE-GGA) for a relaxed PrTlSnHg crystal.

```
4
Lattice="4.682 0.000 0.000 0.000 4.730 0.000 0.000 0.000 4.910" Properties=species:S:1:pos:R:3 pbc="T T T"
Pr 0.000 0.000 0.000
Tl 2.341 0.000 2.455
Sn 2.341 2.365 0.000
Hg 0.000 2.365 2.455
```

Summary:
The total DFT energy (no corrections) comes out at -13.2 eV per formula unit. The calculation puts the formation energy at -435.4 meV/atom. For the energy above the most stable polymorph in this dataset, the calculation gives 0.00 eV/f.u. As for the symmetry: Pmmm (47). The calculation puts the mass density at 10.2 g/cm3.

---

Density functional theory data (PBE-GGA) for a relaxed PrTmSnHg crystal.

```
4
Lattice="4.458 0.000 0.000 0.000 2.224 5.802 0.000 -2.224 5.802" Properties=species:S:1:pos:R:3 pbc="T T T"
Pr 0.000 0.000 0.000
Tm 2.229 0.000 3.206
Sn 0.000 0.000 8.419
Hg 2.229 0.000 6.392
```

Summary:
The total DFT energy (no corrections) comes out at -15.8 eV per formula unit. The calculation puts the formation energy at -558.1 meV/atom. For the energy above the most stable polymorph in this dataset, the calculation gives 0.00 eV/f.u. As for the symmetry: Amm2 (38). The calculation puts the mass density at 9.1 g/cm3.

---

Density functional theory data (PBE-GGA) for a relaxed PrTmSnHg crystal.

```
4
Lattice="0.000 3.790 3.790 3.790 0.000 3.790 3.790 3.790 0.000" Properties=species:S:1:pos:R:3 pbc="T T T"
Pr 0.000 0.000 0.000
Tm 3.790 3.790 3.790
Sn 5.685 5.685 5.685
Hg 1.895 1.895 1.895
```

Summary:
The total DFT energy (no corrections) comes out at -15.8 eV per formula unit. The calculation puts the formation energy at -549.5 meV/atom. For the energy above the most stable polymorph in this dataset, the calculation gives 0.03 eV/f.u. As for the symmetry: F-43m (216). The calculation puts the mass density at 9.6 g/cm3.

---

Density functional theory data (PBE-GGA) for a relaxed PrTm2Sn2Hg2 crystal.

```
7
Lattice="2.502 1.445 8.847 -2.502 1.445 8.847 0.000 -2.889 8.847" Properties=species:S:1:pos:R:3 pbc="T T T"
Pr 0.000 0.000 0.000
Tm 0.000 0.000 3.508
Tm 0.000 0.000 23.032
Sn 0.000 0.000 7.059
Sn 0.000 0.000 19.481
Hg 0.000 0.000 11.574
Hg 0.000 0.000 14.967
```

Summary:
The total DFT energy (no corrections) comes out at -24.7 eV per formula unit. The calculation puts the formation energy at -336.3 meV/atom. As for the symmetry: R-3m (166). The calculation puts the mass density at 9.7 g/cm3.

---

Density functional theory data (PBE-GGA) for a relaxed SrPr2Hg6 crystal.

```
9
Lattice="8.830 0.000 0.000 -4.415 7.647 0.000 0.000 0.000 3.593" Properties=species:S:1:pos:R:3 pbc="T T T"
Sr 0.000 0.000 0.000
Pr 0.000 5.098 0.000
Pr 4.415 2.549 0.000
Hg -1.476 2.556 1.796
Hg -2.939 5.091 1.796
Hg 2.952 0.000 1.796
Hg 1.476 2.556 1.796
Hg 5.878 0.000 1.796
Hg 2.939 5.091 1.796
```

Summary:
The total DFT energy (no corrections) comes out at -17.0 eV per formula unit. The calculation puts the formation energy at -443.5 meV/atom. As for the symmetry: P6/mmm (191). The calculation puts the mass density at 10.8 g/cm3.

---

Density functional theory data (PBE-GGA) for a relaxed SrPr5Hg6 crystal.

```
12
Lattice="5.489 0.000 0.000 0.000 7.784 0.000 -2.729 0.000 8.233" Properties=species:S:1:pos:R:3 pbc="T T T"
Sr 0.000 0.000 0.000
Pr 0.000 3.892 0.000
Pr 0.010 3.892 5.502
Pr 0.011 0.000 5.509
Pr 2.749 0.000 2.724
Pr 2.749 3.892 2.731
Hg 0.006 1.965 2.795
Hg 0.006 5.819 2.795
Hg 2.744 1.992 0.000
Hg 2.744 5.792 0.000
Hg 2.754 1.965 5.438
Hg 2.754 5.819 5.438
```

Summary:
The total DFT energy (no corrections) comes out at -33.1 eV per formula unit. The calculation puts the formation energy at -475.8 meV/atom. As for the symmetry: P2/m (10). The calculation puts the mass density at 9.4 g/cm3.

---

Density functional theory data (PBE-GGA) for a relaxed SrPr2Hg crystal.

```
4
Lattice="1.899 1.096 12.206 -1.899 1.096 12.206 0.000 -2.193 12.206" Properties=species:S:1:pos:R:3 pbc="T T T"
Sr 0.000 0.000 0.000
Pr 0.000 0.000 3.700
Pr 0.000 0.000 32.919
Hg 0.000 0.000 18.309
```

Summary:
The total DFT energy (no corrections) comes out at -11.4 eV per formula unit. The calculation puts the formation energy at 45.8 meV/atom. For the energy above the most stable polymorph in this dataset, the calculation gives 0.73 eV/f.u. As for the symmetry: R-3m (166). The calculation puts the mass density at 6.2 g/cm3.